Record 1
# Pm2ThAu4

Pm2ThAu4 after structural relaxation (PBE-GGA, Alexandria via LeMat-Bulk).

Results
energy of formation = -0.57 eV per atom

a = 7.143 Å, b = 7.143 Å, c = 7.452 Å
α = 90.00°, β = 90.00°, γ = 90.00°
Space group I4/mmm (No. 139)
Symmetry-distinct sites (fractional):
Pm 0.000 0.500 0.000
Th 0.000 0.000 0.000
Au 0.250 0.250 0.250

Record 2
# SrHoI5

SrHoI5 after structural relaxation (PBE-GGA, Alexandria via LeMat-Bulk).

Results
formation energy from raw total energies = -1.441 eV per atom

a = 11.466 Å, b = 11.188 Å, c = 11.787 Å
α = 90.00°, β = 114.76°, γ = 90.00°
Space group C2/c (No. 15)
Symmetry-distinct sites (fractional):
Sr 0.000 0.072 0.250
Ho 0.250 0.250 0.000
I 0.000 0.234 0.750
I 0.090 0.304 0.136
I 0.215 0.013 0.531

Record 3
# CsRb10Hg3

CsRb10Hg3 after structural relaxation (PBE-GGA, Alexandria via LeMat-Bulk).

Results
energy of formation = -0.10 eV per atom

a = 19.862 Å, b = 19.862 Å, c = 19.862 Å
α = 90.00°, β = 90.00°, γ = 90.00°
Space group Fm-3m (No. 225)
Symmetry-distinct sites (fractional):
Cs 0.250 0.250 0.250
Rb 0.000 0.167 0.167
Rb 0.111 0.111 0.389
Hg 0.000 0.000 0.269

Record 4
# Tb2PuTc

Tb2PuTc after structural relaxation (PBE-GGA, Alexandria via LeMat-Bulk).

Results
energy of formation = 0.10 eV per atom
relative energy among the computed polymorphs = 179.7 meV per atom

a = 3.449 Å, b = 3.449 Å, c = 8.584 Å
α = 90.00°, β = 90.00°, γ = 90.00°
Space group P4/mmm (No. 123)
Symmetry-distinct sites (fractional):
Tb 0.000 0.000 0.193
Pu 0.500 0.500 0.500
Tc 0.500 0.500 0.000

Record 5
# AgPbSeI

AgPbSeI after structural relaxation (PBE-GGA, Alexandria via LeMat-Bulk).

Results
formation energy from raw total energies = -0.332 eV per atom

a = 4.4178 Å, b = 4.4178 Å, c = 23.2780 Å
α = 90.00°, β = 90.00°, γ = 120.00°
Space group R3m (No. 160, hexagonal axes)
Symmetry-distinct sites (fractional):
Ag 0.0000 0.0000 0.0000
Pb 0.0000 0.0000 0.5513
Se 0.0000 0.0000 0.2921
I 0.0000 0.0000 0.1229

Record 6
# Ag2OsBr

Ag2OsBr after structural relaxation (PBE-GGA, Alexandria via LeMat-Bulk).

Results
formation energy from raw total energies = 1.197 eV per atom
relative energy among the computed polymorphs = 533.8 meV per atom

a = 3.966 Å, b = 3.966 Å, c = 9.340 Å
α = 90.00°, β = 90.00°, γ = 90.00°
Space group I4/mmm (No. 139)
Symmetry-distinct sites (fractional):
Ag 0.000 0.500 0.250
Os 0.000 0.000 0.000
Br 0.000 0.000 0.500

Record 7
# TiTl2S

TiTl2S after structural relaxation (PBE-GGA, Alexandria via LeMat-Bulk).

Results
formation energy from raw total energies = 0.533 eV per atom
relative energy among the computed polymorphs = 280.9 meV per atom

a = 7.201 Å, b = 7.201 Å, c = 7.201 Å
α = 90.00°, β = 90.00°, γ = 90.00°
Space group Fm-3m (No. 225)
Symmetry-distinct sites (fractional):
Ti 0.000 0.000 0.000
Tl 0.250 0.250 0.250
S 0.000 0.000 0.500

Record 8
# Tb2Y15Ho2

Tb2Y15Ho2 after structural relaxation (PBE-GGA, Alexandria via LeMat-Bulk).

Results
energy of formation = 0.30 eV per atom

a = 11.1728 Å, b = 11.1728 Å, c = 17.8340 Å
α = 90.00°, β = 90.00°, γ = 120.00°
Space group R-3m (No. 166, hexagonal axes)
Symmetry-distinct sites (fractional):
Tb 0.0000 0.0000 0.0954
Y 0.0000 0.3001 0.0000
Y 0.0000 0.5000 0.5000
Y 0.0150 0.5075 0.1349
Ho 0.0000 0.0000 0.3196

Record 9
# TlP2Pd

TlP2Pd after structural relaxation (PBE-GGA, Alexandria via LeMat-Bulk).

Results
energy of formation = 0.11 eV per atom
relative energy among the computed polymorphs = 0.0 meV per atom

a = 5.677 Å, b = 5.677 Å, c = 11.874 Å
α = 90.00°, β = 90.00°, γ = 90.00°
Space group I-42d (No. 122)
Symmetry-distinct sites (fractional):
Tl 0.000 0.000 0.000
P 0.188 0.250 0.625
Pd 0.000 0.000 0.500

Record 10
# CrAs2Rh

CrAs2Rh after structural relaxation (PBE-GGA, Alexandria via LeMat-Bulk).

Results
energy of formation = 0.25 eV per atom

a = 6.333 Å, b = 6.333 Å, c = 6.333 Å
α = 90.00°, β = 90.00°, γ = 90.00°
Space group F-43m (No. 216)
Symmetry-distinct sites (fractional):
Cr 0.000 0.000 0.000
As 0.000 0.000 0.500
As 0.250 0.250 0.750
Rh 0.250 0.250 0.250

Record 11
# Dy2Cu9Au

Dy2Cu9Au after structural relaxation (PBE-GGA, Alexandria via LeMat-Bulk).

Results
energy of formation = -0.11 eV per atom

a = 5.0950 Å, b = 5.0950 Å, c = 24.3761 Å
α = 90.00°, β = 90.00°, γ = 120.00°
Space group R-3m (No. 166, hexagonal axes)
Symmetry-distinct sites (fractional):
Dy 0.0000 0.0000 0.1336
Cu 0.0000 0.0000 0.3331
Cu 0.0000 0.0000 0.5000
Cu 0.0029 0.5015 0.9182
Au 0.0000 0.0000 0.0000

Record 12
# CaMgSe2

CaMgSe2 after structural relaxation (PBE-GGA, Alexandria via LeMat-Bulk).

Results
formation energy from raw total energies = -1.475 eV per atom

a = 6.467 Å, b = 6.467 Å, c = 11.864 Å
α = 90.00°, β = 90.00°, γ = 90.00°
Space group I-42d (No. 122)
Symmetry-distinct sites (fractional):
Ca 0.000 0.000 0.000
Mg 0.000 0.000 0.500
Se 0.218 0.250 0.625

Record 13
# YScCdIr

YScCdIr after structural relaxation (PBE-GGA, Alexandria via LeMat-Bulk).

Results
energy of formation = -0.55 eV per atom

a = 6.943 Å, b = 6.943 Å, c = 6.943 Å
α = 90.00°, β = 90.00°, γ = 90.00°
Space group F-43m (No. 216)
Symmetry-distinct sites (fractional):
Y 0.000 0.000 0.000
Sc 0.000 0.000 0.500
Cd 0.250 0.250 0.250
Ir 0.250 0.250 0.750

Record 14
# Be3Au

Be3Au after structural relaxation (PBE-GGA, Alexandria via LeMat-Bulk).

Results
energy of formation = 0.27 eV per atom

a = 2.7388 Å, b = 2.7388 Å, c = 7.2560 Å
α = 90.00°, β = 90.00°, γ = 120.00°
Space group P-6m2 (No. 187)
Symmetry-distinct sites (fractional):
Be 0.0000 0.0000 0.0000
Be 0.6667 0.3333 0.2252
Au 0.0000 0.0000 0.5000

Record 15
# Ag3W

Ag3W after structural relaxation (PBE-GGA, Alexandria via LeMat-Bulk).

Results
energy of formation = 0.87 eV per atom
relative energy among the computed polymorphs = 479.7 meV per atom

a = 4.239 Å, b = 4.239 Å, c = 7.637 Å
α = 90.00°, β = 90.00°, γ = 90.00°
Space group I4/mmm (No. 139)
Symmetry-distinct sites (fractional):
Ag 0.000 0.000 0.000
Ag 0.000 0.500 0.250
W 0.000 0.000 0.500

Record 16
# BaTmZn10

BaTmZn10 after structural relaxation (PBE-GGA, Alexandria via LeMat-Bulk).

Results
energy of formation = -0.19 eV per atom

a = 4.257 Å, b = 5.539 Å, c = 9.473 Å
α = 90.00°, β = 90.00°, γ = 90.00°
Space group Pmmm (No. 47)
Symmetry-distinct sites (fractional):
Ba 0.000 0.000 0.000
Tm 0.000 0.500 0.500
Zn 0.000 0.000 0.345
Zn 0.000 0.500 0.181
Zn 0.500 0.000 0.500
Zn 0.500 0.263 0.271
Zn 0.500 0.500 0.000

Record 17
# TbPd2

TbPd2 after structural relaxation (PBE-GGA, Alexandria via LeMat-Bulk).

Results
energy of formation = -0.77 eV per atom

a = 3.586 Å, b = 3.586 Å, c = 9.079 Å
α = 90.00°, β = 90.00°, γ = 90.00°
Space group I4/mmm (No. 139)
Symmetry-distinct sites (fractional):
Tb 0.000 0.000 0.000
Pd 0.000 0.000 0.333

Record 18
# LiAuSe2

LiAuSe2 after structural relaxation (PBE-GGA, Alexandria via LeMat-Bulk).

Results
formation energy from raw total energies = -0.499 eV per atom

a = 8.295 Å, b = 3.798 Å, c = 6.678 Å
α = 90.00°, β = 119.43°, γ = 90.00°
Space group C2/m (No. 12)
Symmetry-distinct sites (fractional):
Li 0.000 0.000 0.000
Au 0.000 0.000 0.500
Se 0.128 0.500 0.787

Record 19
# Nb2CrInN

Nb2CrInN after structural relaxation (PBE-GGA, Alexandria via LeMat-Bulk).

Results
formation energy from raw total energies = -0.300 eV per atom

a = 4.384 Å, b = 4.384 Å, c = 3.905 Å
α = 90.00°, β = 90.00°, γ = 90.00°
Space group P4/mmm (No. 123)
Symmetry-distinct sites (fractional):
Nb 0.000 0.500 0.000
Cr 0.000 0.000 0.500
In 0.500 0.500 0.500
N 0.000 0.000 0.000

Record 20
# HoTcB14

HoTcB14 after structural relaxation (PBE-GGA, Alexandria via LeMat-Bulk).

Results
energy of formation = -0.11 eV per atom

a = 5.884 Å, b = 10.772 Å, c = 8.212 Å
α = 90.00°, β = 90.00°, γ = 90.00°
Space group Imma (No. 74)
Symmetry-distinct sites (fractional):
Ho 0.000 0.250 0.125
Tc 0.250 0.250 0.750
B 0.000 0.083 0.670
B 0.000 0.122 0.871
B 0.000 0.167 0.465
B 0.161 0.064 0.338
B 0.246 0.078 0.548

Record 21
# Pu2BeSi4Pt3

Pu2BeSi4Pt3 after structural relaxation (PBE-GGA, Alexandria via LeMat-Bulk).

Results
formation energy from raw total energies = -0.757 eV per atom

a = 4.155 Å, b = 4.155 Å, c = 9.931 Å
α = 90.00°, β = 90.00°, γ = 90.00°
Space group P-4m2 (No. 115)
Symmetry-distinct sites (fractional):
Pu 0.000 0.500 0.244
Be 0.500 0.500 0.000
Si 0.000 0.000 0.500
Si 0.000 0.500 0.869
Si 0.500 0.500 0.500
Pt 0.000 0.000 0.000
Pt 0.000 0.500 0.625

Record 22
# Re4Os

Re4Os after structural relaxation (PBE-GGA, Alexandria via LeMat-Bulk).

Results
energy of formation = 2.56 eV per atom
relative energy among the computed polymorphs = 2502.9 meV per atom

a = 4.626 Å, b = 4.626 Å, c = 4.626 Å
α = 90.00°, β = 90.00°, γ = 90.00°
Space group Pm-3m (No. 221)
Symmetry-distinct sites (fractional):
Re 0.000 0.000 0.000
Re 0.000 0.500 0.500
Os 0.500 0.500 0.500

Record 23
# HgTeI

HgTeI after structural relaxation (PBE-GGA, Alexandria via LeMat-Bulk).

Results
formation energy from raw total energies = -0.015 eV per atom
relative energy among the computed polymorphs = 187.7 meV per atom

a = 7.628 Å, b = 8.245 Å, c = 8.827 Å
α = 90.00°, β = 125.34°, γ = 90.00°
Space group P2_1/c (No. 14)
Symmetry-distinct sites (fractional):
Hg 0.139 0.000 0.321
Te 0.000 0.249 0.058
I 0.500 0.148 0.722

Values for magnetization, μB per cell, ordered as above
0.00, 0.00, 0.00, 7.04, 0.00, 2.42, 0.00, 0.00, 0.00, 13.38, 0.00, 0.00, 0.00, 0.00, 1.11, 0.00, 0.00, 0.00, 1.42, 0.00, 10.18, 1.18, 0.00